# YZnCdPd

A geometry-optimized YZnCdPd structure (GGA-PBE, Alexandria via LeMat-Bulk).

Lattice parameters (Å, degrees): 4.8229 4.8229 4.8229 60.00 60.00 60.00
Last column: nearest neighbours and their distance in Å.
Atoms (fractional coordinates):
Y  0.0000  0.0000  0.0000  4 Pd 2.95, 4 Zn 2.95
Zn  0.7500  0.7500  0.7500  4 Cd 2.95, 4 Y 2.95
Cd  0.5000  0.5000  0.5000  4 Zn 2.95, 4 Pd 2.95
Pd  0.2500  0.2500  0.2500  4 Cd 2.95, 4 Y 2.95

## Properties
space-group type = F-43m
energy of formation from the pure elements = -494.6 meV/atom